Computed, not measured: a relaxed structure of MnGePO2 at the GGA+U level of DFT.

## Properties
The distance to the lowest polymorph of the same formula is 0.59 eV/f.u. Its size of the total moment is 3.1 μB per formula unit. The volume comes out at 13.867 Å³/atom. As for the crystal system: tetragonal.

abc: 3.7243 3.7243 4.9986
angles: 90.00 90.00 90.00
With the nearest neighbours (Å) after each atom.
Fractional coordinates of all 5 atoms:
Mn 0.0000 0.0000 0.0000  4 O 1.86
Ge 0.5000 0.5000 0.5000  4 P 2.63
P 0.0000 0.0000 0.5000  2 Mn 2.50, 4 Ge 2.63
O 0.0000 0.5000 0.0000  2 Mn 1.86
O 0.5000 0.0000 0.0000  2 Mn 1.86